(1)
Below is a geometry-optimized Ba2SnHg structure, with properties calculated at the PBE level.

The total energy comes out at -2.6728 eV/atom. The calculation puts the density at 6.5 g/cm³.

Unit cell a=5.9854 b=5.9854 c=5.9854 alpha=60.00 beta=60.00 gamma=60.00
With the nearest neighbours (Å) after each atom.
Fractional positions:
Ba: 0.2500 0.2500 0.2500  4 Hg 3.67, 4 Sn 3.67
Ba: 0.7500 0.7500 0.7500  4 Hg 3.67, 4 Sn 3.67
Sn: 0.0000 0.0000 0.0000  8 Ba 3.67
Hg: 0.5000 0.5000 0.5000  8 Ba 3.67

---

(2)
Below is a geometry-optimized PmN structure, with properties calculated at the PBE level.

Its magnetic moment is 0.00 μB per cell. The total energy comes out at -7.8167 eV/atom. The calculation puts the density at 6.6 g/cm³.

Unit cell a=3.8423 b=3.8423 c=3.8423 alpha=60.00 beta=60.00 gamma=60.00
With the nearest neighbours (Å) after each atom.
Fractional positions:
Pm: 0.0000 0.0000 0.0000  4 N 2.35
N: 0.2500 0.2500 0.2500  4 Pm 2.35

---

(3)
Below is a geometry-optimized Pr2NdZn2Cu2Si4 structure, with properties calculated at the PBE level.

Its magnetic moment is 0.00 μB per cell. The total energy comes out at -4.7654 eV/atom. The calculation puts the density at 6.2 g/cm³.

Unit cell a=12.6230 b=12.6230 c=12.6230 alpha=161.05 beta=160.97 gamma=26.99
With the nearest neighbours (Å) after each atom.
Fractional positions:
Pr: 0.1443 0.1443 0.0000  6 Si 3.14, 4 Cu 3.20, 4 Zn 3.33
Pr: 0.8557 0.8557 0.0000  6 Si 3.14, 4 Cu 3.20, 4 Zn 3.33
Nd: 0.0000 0.5000 0.5000  4 Cu 3.10, 8 Si 3.18
Zn: 0.2500 0.7500 0.5000  4 Si 2.56-2.57
Zn: 0.7500 0.2500 0.5000  4 Si 2.56-2.57
Cu: 0.4065 0.4065 0.0000  3 Si 2.35
Cu: 0.5935 0.5935 0.0000  3 Si 2.35
Si: 0.3109 0.3109 0.0000  1 Cu 2.35, 4 Zn 2.56-2.57
Si: 0.4514 0.9514 0.5000  2 Cu 2.35, 1 Si 2.39
Si: 0.5486 0.0486 0.5000  2 Cu 2.35, 1 Si 2.39
Si: 0.6891 0.6891 0.0000  1 Cu 2.35, 4 Zn 2.56-2.57

---

(4)
Below is a geometry-optimized BaDyIr structure, with properties calculated at the PBE level.

Its magnetic moment is 0.00 μB per cell. The total energy comes out at -5.3145 eV/atom. The calculation puts the density at 9.0 g/cm³.

Unit cell a=5.0522 b=5.0522 c=5.0522 alpha=60.00 beta=60.00 gamma=60.00
With the nearest neighbours (Å) after each atom.
Fractional positions:
Ba: 0.0000 0.0000 0.0000  4 Ir 3.09
Dy: 0.5000 0.5000 0.5000  4 Ir 3.09
Ir: 0.7500 0.7500 0.7500  4 Ba 3.09, 4 Dy 3.09